# 1
Computed, not measured: an optimized crystal structure of LiBe2Sn2Pd5 at the GGA-PBE level of DFT.

The formation energy comes out at -0.438 eV/atom. The uncorrected energy comes out at -4.77 eV/atom. The calculation puts the magnetic moment at 0.0 μB/f.u.

```
LiBe2Sn2Pd5
1.0
3.365 0.000 0.000
0.000 9.402 0.000
0.000 0.000 9.402
Sn Pd Li Be
4 10 2 4
Direct
0.000 0.173 0.327
0.000 0.327 0.827
0.000 0.673 0.173
0.000 0.827 0.673
0.500 0.424 0.294
0.500 0.706 0.424
0.500 0.924 0.206
0.500 0.000 0.500
0.500 0.294 0.576
0.500 0.576 0.706
0.500 0.500 0.000
0.500 0.076 0.794
0.500 0.206 0.076
0.500 0.794 0.924
0.000 0.000 0.000
0.000 0.500 0.500
0.000 0.373 0.127
0.000 0.873 0.373
0.000 0.627 0.873
0.000 0.127 0.627
```

# 2
Computed, not measured: an optimized crystal structure of SrLiBePd2 at the GGA-PBE level of DFT.

The formation energy comes out at -0.351 eV/atom. The uncorrected energy comes out at -3.89 eV/atom. The calculation puts the magnetic moment at 0.0 μB/f.u.

```
SrLiBePd2
1.0
4.482 0.000 0.000
0.000 4.482 0.000
0.000 0.000 4.592
Sr Li Be Pd
1 1 1 2
Direct
0.500 0.500 0.500
0.000 0.000 0.500
0.000 0.000 0.000
0.500 0.000 0.000
0.000 0.500 0.000
```

# 3
Computed, not measured: an optimized crystal structure of LiTb2BePd6 at the GGA-PBE level of DFT.

The formation energy comes out at -0.625 eV/atom. The uncorrected energy comes out at -5.23 eV/atom. The calculation puts the magnetic moment at 0.0 μB/f.u.

```
LiTb2BePd6
1.0
5.902 -0.002 -0.011
-0.017 6.608 0.468
2.927 3.633 4.655
Pd Li Be Tb
6 1 1 2
Direct
0.765 0.744 0.978
0.743 0.767 0.513
0.257 0.744 0.978
0.257 0.233 0.487
0.743 0.256 0.022
0.235 0.256 0.022
0.000 0.000 0.000
0.500 0.500 0.000
0.262 0.737 0.474
0.738 0.263 0.526
```

# 4
Computed, not measured: an optimized crystal structure of Li2BeTcPd at the GGA-PBE level of DFT.

The formation energy comes out at 0.772 eV/atom. The uncorrected energy comes out at -3.85 eV/atom. The calculation puts the magnetic moment at 2.6 μB/f.u.

```
Li2BeTcPd
1.0
-0.543 4.259 0.180
-1.231 0.014 -4.055
-4.076 -0.572 1.235
Li Pd Be Tc
2 1 1 1
Direct
0.500 0.000 0.000
0.000 0.000 0.500
0.000 0.000 0.000
0.000 0.500 0.000
0.500 0.500 0.500
```

# 5
Computed, not measured: an optimized crystal structure of LiTi2Be2Pd5 at the GGA-PBE level of DFT.

The formation energy comes out at -0.506 eV/atom. The uncorrected energy comes out at -5.62 eV/atom. The calculation puts the magnetic moment at 1.1 μB/f.u.

```
LiTi2Be2Pd5
1.0
-1.870 -2.313 0.611
7.288 -4.996 3.396
-1.581 3.558 8.628
Li Be Pd Ti
2 4 10 4
Direct
0.000 0.500 0.500
0.000 0.000 0.000
0.000 0.372 0.128
0.000 0.128 0.628
0.000 0.872 0.372
0.000 0.628 0.872
0.500 0.206 0.067
0.500 0.794 0.933
0.500 0.294 0.567
0.500 0.706 0.433
0.500 0.567 0.706
0.500 0.933 0.206
0.500 0.067 0.794
0.500 0.433 0.294
0.500 0.000 0.500
0.500 0.500 0.000
0.000 0.824 0.676
0.000 0.176 0.324
0.000 0.676 0.176
0.000 0.324 0.824
```

# 6
Computed, not measured: an optimized crystal structure of Li2Be2TlPd5 at the GGA-PBE level of DFT.

The formation energy comes out at -0.409 eV/atom. The uncorrected energy comes out at -4.37 eV/atom. The calculation puts the magnetic moment at 0.0 μB/f.u.

```
Li2Be2TlPd5
1.0
-0.767 -1.358 -2.905
9.347 -0.959 -2.019
-0.013 -8.705 4.072
Pd Li Be Tl
10 4 4 2
Direct
0.500 0.220 0.074
0.500 0.720 0.426
0.500 0.574 0.720
0.500 0.280 0.574
0.500 0.500 0.000
0.500 0.926 0.220
0.500 0.780 0.926
0.500 0.426 0.280
0.500 0.000 0.500
0.500 0.074 0.780
0.000 0.827 0.673
0.000 0.173 0.327
0.000 0.673 0.173
0.000 0.327 0.827
0.000 0.622 0.878
0.000 0.122 0.622
0.000 0.378 0.122
0.000 0.878 0.378
0.000 0.500 0.500
0.000 0.000 0.000
```

# 7
Computed, not measured: an optimized crystal structure of LiTm2BePd6 at the GGA-PBE level of DFT.

The formation energy comes out at -0.625 eV/atom. The uncorrected energy comes out at -5.20 eV/atom. The calculation puts the magnetic moment at 0.0 μB/f.u.

```
LiTm2BePd6
1.0
5.884 -0.007 -0.015
-0.017 6.504 0.407
2.915 3.534 4.580
Be Pd Li Tm
1 6 1 2
Direct
0.500 0.500 0.000
0.256 0.744 0.982
0.761 0.744 0.984
0.744 0.256 0.018
0.239 0.256 0.016
0.256 0.238 0.489
0.744 0.762 0.511
0.000 0.000 0.000
0.739 0.261 0.523
0.261 0.739 0.477
```

# 8
Computed, not measured: an optimized crystal structure of LiY2BePd6 at the GGA-PBE level of DFT.

The formation energy comes out at -0.618 eV/atom. The uncorrected energy comes out at -5.59 eV/atom. The calculation puts the magnetic moment at 0.0 μB/f.u.

```
LiY2BePd6
1.0
5.899 0.000 -0.004
-0.018 6.612 0.473
2.924 3.639 4.662
Be Pd Y Li
1 6 2 1
Direct
0.500 0.500 0.000
0.257 0.231 0.487
0.767 0.743 0.976
0.743 0.257 0.024
0.257 0.743 0.976
0.743 0.769 0.513
0.233 0.257 0.023
0.265 0.735 0.470
0.735 0.265 0.530
0.000 0.000 0.000
```

# 9
Computed, not measured: an optimized crystal structure of Li2Be2ZnPd5 at the GGA-PBE level of DFT.

The formation energy comes out at -0.520 eV/atom. The uncorrected energy comes out at -4.37 eV/atom. The calculation puts the magnetic moment at 0.0 μB/f.u.

```
Li2Be2ZnPd5
1.0
-1.574 0.789 -2.378
-8.139 -2.699 4.494
-0.970 8.932 3.607
Li Pd Be Zn
4 10 4 2
Direct
0.000 0.327 0.827
0.000 0.673 0.173
0.000 0.173 0.327
0.000 0.827 0.673
0.500 0.429 0.292
0.500 0.071 0.792
0.500 0.792 0.929
0.500 0.000 0.500
0.500 0.571 0.708
0.500 0.500 0.000
0.500 0.292 0.571
0.500 0.929 0.208
0.500 0.208 0.071
0.500 0.708 0.429
0.000 0.372 0.128
0.000 0.628 0.872
0.000 0.872 0.372
0.000 0.128 0.628
0.000 0.500 0.500
0.000 0.000 0.000
```

# 10
Computed, not measured: an optimized crystal structure of LiPm2Be at the GGA-PBE level of DFT.

The formation energy comes out at 0.116 eV/atom. The uncorrected energy comes out at -3.67 eV/atom. The calculation puts the magnetic moment at 0.0 μB/f.u.

```
LiPm2Be
1.0
3.590 0.000 0.000
0.000 3.590 0.000
0.000 0.000 7.573
Li Pm Be
1 2 1
Direct
0.500 0.500 0.500
0.000 0.000 0.212
0.000 0.000 0.788
0.500 0.500 0.000
```

# 11
Computed, not measured: an optimized crystal structure of LiPm2Be at the GGA-PBE level of DFT.

The formation energy comes out at 0.166 eV/atom. The uncorrected energy comes out at -3.62 eV/atom. The calculation puts the magnetic moment at 0.0 μB/f.u.

```
LiPm2Be
1.0
-3.955 3.150 0.789
-4.780 -1.823 -0.091
-2.700 -0.319 4.335
Li Pm Be
1 2 1
Direct
0.500 0.500 0.500
0.750 0.750 0.750
0.250 0.250 0.250
0.000 0.000 0.000
```

# 12
Computed, not measured: an optimized crystal structure of LiPmPrBe at the GGA-PBE level of DFT.

The formation energy comes out at 0.175 eV/atom. The uncorrected energy comes out at -3.62 eV/atom. The calculation puts the magnetic moment at 0.0 μB/f.u.

```
LiPmPrBe
1.0
-0.496 -3.489 3.766
-1.570 -4.786 -1.109
3.313 -3.939 0.319
Li Pr Pm Be
1 1 1 1
Direct
0.000 0.000 0.000
0.250 0.250 0.250
0.750 0.750 0.750
0.500 0.500 0.500
```

Please write out number 11 again, unchanged.
Computed, not measured: an optimized crystal structure of LiPm2Be at the GGA-PBE level of DFT.

The formation energy comes out at 0.166 eV/atom. The uncorrected energy comes out at -3.62 eV/atom. The calculation puts the magnetic moment at 0.0 μB/f.u.

```
LiPm2Be
1.0
-3.955 3.150 0.789
-4.780 -1.823 -0.091
-2.700 -0.319 4.335
Li Pm Be
1 2 1
Direct
0.500 0.500 0.500
0.750 0.750 0.750
0.250 0.250 0.250
0.000 0.000 0.000
```